(1)
Density functional theory data (PBE-GGA) for a relaxed structure of CaReMo2.

Results
Energy relative to the lowest polymorph listed for this composition, eV/f.u.: 0.75
DFT total energy, eV/atom: -8.366
ρ, g/cm3: 9.72
Spin magnetization, μB/f.u.: 0.001
Formation energy, eV per atom: 0.66
DOS(E_F), states/eV per cell: 4.905

Cell: 9.989 9.989 9.989 Å, 16.66 16.66 16.66°
Fractional coordinates of all 4 atoms:
Mo 0.510 0.510 0.510
Re 0.250 0.250 0.250
Ca 0.750 0.750 0.750
Mo 0.990 0.990 0.990

---

(2)
Density functional theory data (PBE-GGA) for a relaxed structure of Sr2CaReMo.

Results
DFT total energy, eV/atom: -3.608
ρ, g/cm3: 4.76
Spin magnetization, μB/f.u.: 5.196
Formation energy, eV per atom: 2.12
DOS(E_F), states/eV per cell: 2.871

Cell: 6.023 4.784 6.023 Å, 90.00 90.00 90.00°
Last column: magnetic moment on the atom in μB.
Fractional coordinates of all 5 atoms:
Sr 0.500 0.000 0.000  0.00
Re 0.000 0.500 0.000  0.87
Sr 0.000 0.000 0.500  -0.03
Ca 0.000 0.000 0.000  -0.04
Mo 0.500 0.500 0.500  3.53

---

(3)
Density functional theory data (PBE-GGA) for a relaxed structure of CaReTeMo2.

Results
DFT total energy, eV/atom: -6.778
ρ, g/cm3: 6.99
Formation energy without anion corrections, eV per atom: 1.07
Spin magnetization, μB/f.u.: 3.322
DOS(E_F), states/eV per cell: 5.754

Cell: 4.822 5.573 4.822 Å, 90.00 90.00 90.00°
Last column: magnetic moment on the atom in μB.
Fractional coordinates of all 5 atoms:
Ca 0.500 0.500 0.500  0.04
Te 0.000 0.500 0.000  0.01
Mo 0.000 0.000 0.500  1.35
Mo 0.500 0.000 0.000  1.56
Re 0.000 0.000 0.000  -0.33

---

(4)
Density functional theory data (PBE-GGA) for a relaxed structure of Ca3MoRh.

Results
Energy relative to the lowest polymorph listed for this composition, eV/f.u.: 3.09
DFT total energy, eV/atom: -3.638
ρ, g/cm3: 3.73
Spin magnetization, μB/f.u.: 0.718
Formation energy, eV per atom: 1.20
DOS(E_F), states/eV per cell: 6.928

Cell: 5.218 5.218 5.218 Å, 90.00 90.00 90.00°
Last column: magnetic moment on the atom in μB.
Fractional coordinates of all 5 atoms:
Ca 0.000 0.000 0.500  0.00
Rh 0.500 0.500 0.500  0.44
Mo 0.000 0.000 0.000  0.27
Ca 0.500 0.000 0.000  0.00
Ca 0.000 0.500 0.000  0.01

---

(5)
Density functional theory data (PBE-GGA) for a relaxed structure of CaMo2Rh2.

Results
DFT total energy, eV/atom: -7.708
ρ, g/cm3: 8.35
Spin magnetization, μB/f.u.: 0.000
Formation energy, eV per atom: -0.03
DOS(E_F), states/eV per cell: 5.662

Cell: 7.904 7.904 2.786 Å, 90.00 90.00 90.00°
Fractional coordinates of all 10 atoms:
Rh 0.174 0.674 0.500
Rh 0.674 0.826 0.500
Mo 0.386 0.886 0.000
Mo 0.614 0.114 0.000
Mo 0.886 0.614 0.000
Rh 0.826 0.326 0.500
Mo 0.114 0.386 0.000
Ca 0.500 0.500 0.000
Ca 0.000 0.000 0.000
Rh 0.326 0.174 0.500

---

(6)
Density functional theory data (PBE-GGA) for a relaxed structure of Ca2MoRh.

Results
Energy relative to the lowest polymorph listed for this composition, eV/f.u.: 1.41
DFT total energy, eV/atom: -5.046
ρ, g/cm3: 5.59
Spin magnetization, μB/f.u.: 0.339
Formation energy, eV per atom: 0.50
DOS(E_F), states/eV per cell: 5.215

Cell: 9.728 9.728 9.728 Å, 18.71 18.71 18.71°
Last column: magnetic moment on the atom in μB.
Fractional coordinates of all 4 atoms:
Ca 0.007 0.007 0.007  0.00
Rh 0.750 0.750 0.750  0.01
Mo 0.250 0.250 0.250  0.27
Ca 0.493 0.493 0.493  0.00

---

(7)
Density functional theory data (PBE-GGA) for a relaxed structure of Ca2MoRh.

Results
Energy relative to the lowest polymorph listed for this composition, eV/f.u.: 0.58
DFT total energy, eV/atom: -5.252
ρ, g/cm3: 4.76
Spin magnetization, μB/f.u.: 0.000
Formation energy, eV per atom: 0.29
DOS(E_F), states/eV per cell: 2.263

Cell: 4.318 3.184 7.247 Å, 77.53 90.00 90.00°
Fractional coordinates of all 4 atoms:
Rh 0.500 0.679 0.696
Ca 0.500 0.261 0.315
Mo 0.000 0.578 0.555
Ca 0.000 0.982 0.934

---

(8)
Density functional theory data (PBE-GGA) for a relaxed structure of Ca2MoRh.

Results
Energy relative to the lowest polymorph listed for this composition, eV/f.u.: 0.46
DFT total energy, eV/atom: -5.283
ρ, g/cm3: 4.94
Spin magnetization, μB/f.u.: 0.000
Formation energy, eV per atom: 0.26
DOS(E_F), states/eV per cell: 3.142

Cell: 5.943 5.943 5.147 Å, 64.35 64.35 35.36°
Fractional coordinates of all 4 atoms:
Rh 0.215 0.215 0.286
Ca 0.973 0.973 0.027
Ca 0.758 0.758 0.742
Mo 0.554 0.554 0.446

---

Question: Among the records above, which one has the highest DFT total energy?
Answer: Sr2CaReMo

---

Question: Which formula does entry 2 have?
Answer: Sr2CaReMo